Material: Ce5SmBi3
Method: DFT, PBE
State: relaxed

```
Ce5SmBi3
1.0
9.677 0.000 0.000
-4.839 8.381 0.000
0.000 0.000 6.614
Ce Sm Bi
10 2 6
Cartesian
-1.652 2.862 1.653
-3.186 5.519 4.960
0.000 5.587 0.000
0.000 5.587 3.307
3.305 0.000 1.653
1.652 2.862 4.960
6.372 0.000 4.960
3.186 5.519 1.653
4.839 2.794 0.000
4.839 2.794 3.307
0.000 0.000 0.000
0.000 0.000 3.307
-1.583 2.742 4.960
-3.255 5.639 1.653
3.166 0.000 4.960
1.583 2.742 1.653
6.511 0.000 1.653
3.255 5.639 4.960
```

## Properties
- total magnetization (Bohr magnetons per cell) = 11.617
- E (eV for the cell shown) = -100.40
- formation energy (eV per formula unit) = -4.167
- calculated density (g cm⁻³) = 9.15
- D(E_F) (states/eV/f.u.) = 30.4

Material: YBe2Ag2
Method: DFT, PBE
State: relaxed

```
YBe2Ag2
1.0
7.469 0.000 0.000
0.000 7.469 0.000
0.000 0.000 2.892
Y Be Ag
2 4 4
Cartesian
0.000 0.000 0.000
3.734 3.734 0.000
0.839 2.896 0.000
2.896 6.630 0.000
4.573 0.839 0.000
6.630 4.573 0.000
1.289 5.023 1.446
2.446 1.289 1.446
5.023 6.180 1.446
6.180 2.446 1.446
```

## Properties
- total magnetization (Bohr magnetons per cell) = 0.208
- offset from the most stable computed form (eV per formula unit) = 0.73
- E (eV for the cell shown) = -37.69
- formation energy (eV per formula unit) = 0.774
- calculated density (g cm⁻³) = 6.64
- D(E_F) (states/eV/f.u.) = 2.9

Material: DyPa2BeN5
Method: DFT, PBE
State: relaxed

```
DyPa2BeN5
1.0
1.653 -7.759 0.000
1.653 7.759 0.000
0.000 0.000 9.137
Dy Pa Be N
2 4 2 10
Cartesian
1.653 4.538 4.568
1.653 -4.538 0.000
1.653 6.263 1.682
1.653 6.111 7.344
1.653 -6.111 2.775
1.653 -6.263 6.251
1.653 0.690 8.792
1.653 -0.690 4.224
1.653 7.275 4.970
1.653 2.842 1.764
1.653 2.368 7.755
1.653 2.199 4.765
1.653 0.128 2.669
1.653 -0.128 7.238
1.653 -2.199 0.197
1.653 -2.368 3.187
1.653 -2.842 6.332
1.653 -7.275 0.402
```

## Properties
- total magnetization (Bohr magnetons per cell) = 0.000
- E (eV for the cell shown) = -161.26
- calculated density (g cm⁻³) = 9.97
- ΔE_f (raw) (kJ/mol of formula units) = -1127

Material: Ti3GaO
Method: DFT, PBE
State: relaxed

```
Ti3GaO
1.0
6.203 -1.523 0.000
6.203 1.523 0.000
-0.626 0.000 7.279
Ti Ga O
6 2 2
Cartesian
0.319 0.000 1.738
2.809 0.000 4.932
4.535 0.000 0.343
7.246 0.000 6.935
8.971 0.000 2.347
11.461 0.000 5.540
4.749 0.000 3.178
7.031 0.000 4.101
2.347 0.000 0.967
9.433 0.000 6.312
```

## Properties
- total magnetization (Bohr magnetons per cell) = 0.000
- E (eV for the cell shown) = -75.97
- calculated density (g cm⁻³) = 5.54
- D(E_F) (states/eV/f.u.) = 2.8
- ΔE_f (raw) (kJ/mol of formula units) = -609

Material: Pm2ErPaSb4
Method: DFT, PBE
State: relaxed

```
Pm2ErPaSb4
1.0
7.642 0.000 0.000
0.000 4.423 0.000
-2.549 0.000 7.246
Pm Er Pa Sb
2 1 1 4
Cartesian
0.000 0.000 0.000
3.821 2.212 0.000
-1.275 2.212 3.623
2.546 0.000 3.623
0.002 0.000 5.362
1.267 2.212 1.872
3.826 2.212 5.374
5.091 0.000 1.884
```

## Properties
- total magnetization (Bohr magnetons per cell) = 0.780
- E (eV for the cell shown) = -47.88
- calculated density (g cm⁻³) = 7.97
- D(E_F) (states/eV/f.u.) = 6.5
- ΔE_f (raw) (kJ/mol of formula units) = -755

Material: Sr2NiH6Rh
Method: DFT, PBE
State: relaxed

```
Sr2NiH6Rh
1.0
0.000 3.712 3.798
3.705 0.000 3.798
3.705 3.712 0.000
Sr Ni H Rh
2 1 6 1
Cartesian
1.853 1.856 1.899
5.558 5.568 5.697
0.000 0.000 0.000
5.579 3.712 3.798
3.705 1.838 3.798
3.705 3.712 1.942
3.705 3.712 5.654
3.705 5.586 3.798
1.831 3.712 3.798
3.705 3.712 3.798
```

## Properties
- total magnetization (Bohr magnetons per cell) = 0.000
- E (eV for the cell shown) = -41.51
- calculated density (g cm⁻³) = 5.45
- D(E_F) (states/eV/f.u.) = 1.1

Material: KCdAs4
Method: DFT, PBE
State: relaxed

```
KCdAs4
1.0
0.000 4.328 4.328
4.328 0.000 4.328
4.328 4.328 0.000
K Cd As
1 1 4
Cartesian
0.000 0.000 0.000
2.164 2.164 2.164
5.237 3.420 3.420
3.420 5.237 3.420
3.420 3.420 5.237
5.237 5.237 5.237
```

## Properties
- total magnetization (Bohr magnetons per cell) = 0.000
- E (eV for the cell shown) = -20.47
- formation energy (eV per formula unit) = 0.139
- calculated density (g cm⁻³) = 4.62
- D(E_F) (states/eV/f.u.) = 4.4

Material: ZnIn2Os2
Method: DFT, PBE
State: relaxed

```
ZnIn2Os2
1.0
3.555 0.000 0.000
0.000 3.555 0.000
0.000 0.000 16.655
Zn In Os
2 4 4
Cartesian
0.000 0.000 0.000
1.778 1.778 8.328
0.000 0.000 6.530
0.000 0.000 10.126
1.778 1.778 1.798
1.778 1.778 14.857
0.000 1.778 4.164
0.000 1.778 12.492
1.778 0.000 4.164
1.778 0.000 12.492
```

## Properties
- total magnetization (Bohr magnetons per cell) = 0.002
- E (eV for the cell shown) = -51.85
- formation energy (eV per formula unit) = 3.287
- calculated density (g cm⁻³) = 10.66
- D(E_F) (states/eV/f.u.) = 4.4

Material: RhCSeBr2
Method: DFT, PBE
State: relaxed

```
RhCSeBr2
1.0
5.210 0.000 0.000
0.000 5.210 0.000
0.000 0.000 4.664
Rh C Se Br
1 1 1 2
Cartesian
0.000 0.000 0.000
2.605 2.605 2.332
0.000 0.000 2.332
0.000 2.605 0.000
2.605 0.000 0.000
```

## Properties
- total magnetization (Bohr magnetons per cell) = 1.475
- offset from the most stable computed form (eV per formula unit) = 0.19
- E (eV for the cell shown) = -15.85
- calculated density (g cm⁻³) = 4.64
- D(E_F) (states/eV/f.u.) = 4.5
- ΔE_f (raw) (kJ/mol of formula units) = 729

Material: LiY2Sb2
Method: DFT, PBE
State: relaxed

```
LiY2Sb2
1.0
8.428 0.000 0.000
0.000 8.428 0.000
0.000 0.000 3.941
Li Y Sb
2 4 4
Cartesian
0.000 0.000 0.000
4.214 4.214 0.000
1.197 3.017 0.000
3.017 7.231 0.000
5.411 1.197 0.000
7.231 5.411 0.000
1.367 5.581 1.970
2.846 1.367 1.970
5.581 7.060 1.970
7.060 2.846 1.970
```

## Properties
- total magnetization (Bohr magnetons per cell) = 0.961
- offset from the most stable computed form (eV per formula unit) = 1.02
- E (eV for the cell shown) = -52.64
- calculated density (g cm⁻³) = 5.08
- D(E_F) (states/eV/f.u.) = 3.6
- ΔE_f (raw) (kJ/mol of formula units) = -312

Material: LiAcSn2
Method: DFT, PBE
State: relaxed

```
LiAcSn2
1.0
7.976 0.000 0.000
0.000 4.578 0.000
0.000 0.000 12.041
Li Ac Sn
4 4 8
Cartesian
0.011 1.144 1.727
3.977 3.433 7.747
3.999 1.144 4.294
7.965 3.433 10.315
1.335 1.144 7.636
2.653 3.433 1.615
5.323 1.144 10.426
6.641 3.433 4.405
1.218 1.144 4.096
1.249 1.144 11.277
2.739 3.433 5.256
2.770 3.433 10.116
5.206 1.144 1.925
5.237 1.144 6.785
6.727 3.433 0.764
6.758 3.433 7.946
```

## Properties
- total magnetization (Bohr magnetons per cell) = 0.000
- E (eV for the cell shown) = -66.02
- formation energy (eV per formula unit) = -2.477
- calculated density (g cm⁻³) = 7.12
- D(E_F) (states/eV/f.u.) = 0.7

Material: ReTeN2O
Method: DFT, PBE
State: relaxed

```
ReTeN2O
1.0
4.042 0.000 0.000
0.000 4.042 0.000
0.000 0.000 3.858
Re Te N O
1 1 2 1
Cartesian
0.000 0.000 0.000
2.021 2.021 1.929
0.000 2.021 0.000
2.021 0.000 0.000
0.000 0.000 1.929
```

## Properties
- total magnetization (Bohr magnetons per cell) = 0.000
- E (eV for the cell shown) = -35.09
- calculated density (g cm⁻³) = 9.42
- D(E_F) (states/eV/f.u.) = 4.1
- ΔE_f (raw) (kJ/mol of formula units) = 203

Material: NaSr2Ca2
Method: DFT, PBE
State: relaxed

```
NaSr2Ca2
1.0
5.165 0.000 0.000
0.000 5.165 0.000
0.000 0.000 19.713
Na Sr Ca
2 4 4
Cartesian
0.000 0.000 0.000
2.583 2.583 9.857
0.000 2.583 4.928
0.000 2.583 14.785
2.583 0.000 4.928
2.583 0.000 14.785
0.000 0.000 8.004
0.000 0.000 11.709
2.583 2.583 1.852
2.583 2.583 17.861
```

## Properties
- total magnetization (Bohr magnetons per cell) = 0.000
- offset from the most stable computed form (eV per formula unit) = 1.48
- E (eV for the cell shown) = -14.25
- formation energy (eV per formula unit) = 1.563
- calculated density (g cm⁻³) = 1.76
- D(E_F) (states/eV/f.u.) = 4.1

Material: CePr10Er6
Method: DFT, PBE
State: relaxed

```
CePr10Er6
1.0
9.881 0.000 0.000
-4.940 8.557 0.000
0.000 0.000 6.954
Ce Pr Er
1 10 6
Cartesian
0.000 0.000 0.000
-1.364 2.362 2.218
-3.576 6.194 4.736
2.728 0.000 2.218
1.364 2.362 4.736
0.000 5.705 0.000
0.000 5.705 3.477
4.940 2.852 0.000
4.940 2.852 3.477
7.153 0.000 4.736
3.576 6.194 2.218
-1.811 3.136 5.676
-3.130 5.421 1.278
3.621 0.000 5.676
1.811 3.136 1.278
6.259 0.000 1.278
3.130 5.421 5.676
```

## Properties
- total magnetization (Bohr magnetons per cell) = 0.662
- E (eV for the cell shown) = -78.55
- formation energy (eV per formula unit) = 2.557
- calculated density (g cm⁻³) = 7.21
- D(E_F) (states/eV/f.u.) = 29.6

Material: ZnNiBr2
Method: DFT, PBE
State: relaxed

```
ZnNiBr2
1.0
6.866 0.000 0.000
0.000 3.946 0.000
-0.223 0.000 7.149
Zn Ni Br
2 2 4
Cartesian
0.000 0.000 0.000
3.433 1.973 0.000
1.188 1.973 0.859
4.621 0.000 0.859
0.771 1.973 5.651
2.198 0.000 2.091
4.204 0.000 5.651
5.631 1.973 2.091
```

## Properties
- total magnetization (Bohr magnetons per cell) = 0.000
- offset from the most stable computed form (eV per formula unit) = 0.00
- E (eV for the cell shown) = -22.98
- calculated density (g cm⁻³) = 4.87
- D(E_F) (states/eV/f.u.) = 0.0
- ΔE_f (raw) (kJ/mol of formula units) = -105

Material: Pr5MgTl3
Method: DFT, PBE
State: relaxed

```
Pr5MgTl3
1.0
9.719 0.000 0.000
-4.859 8.417 0.000
0.000 0.000 6.822
Pr Mg Tl
10 2 6
Cartesian
-1.485 2.573 1.705
-3.374 5.844 5.116
2.971 0.000 1.705
1.485 2.573 5.116
0.000 5.611 0.000
0.000 5.611 3.411
4.859 2.806 0.000
4.859 2.806 3.411
6.748 0.000 5.116
3.374 5.844 1.705
0.000 0.000 0.000
0.000 0.000 3.411
-1.728 2.993 5.116
-3.131 5.424 1.705
3.456 0.000 5.116
1.728 2.993 1.705
6.263 0.000 1.705
3.131 5.424 5.116
```

## Properties
- total magnetization (Bohr magnetons per cell) = 0.000
- E (eV for the cell shown) = -70.51
- formation energy (eV per formula unit) = -2.666
- calculated density (g cm⁻³) = 7.99
- D(E_F) (states/eV/f.u.) = 10.3

Material: CeYSc2Sb4
Method: DFT, PBE
State: relaxed

```
CeYSc2Sb4
1.0
7.431 0.000 0.000
0.000 4.311 0.000
-2.491 0.000 7.038
Ce Y Sc Sb
1 1 2 4
Cartesian
0.000 0.000 0.000
-1.246 2.156 3.519
2.470 0.000 3.519
3.716 2.156 0.000
0.105 0.000 5.304
1.356 2.156 1.823
3.584 2.156 5.215
4.835 0.000 1.734
```

## Properties
- total magnetization (Bohr magnetons per cell) = 0.689
- E (eV for the cell shown) = -49.65
- calculated density (g cm⁻³) = 5.94
- D(E_F) (states/eV/f.u.) = 7.6
- ΔE_f (raw) (kJ/mol of formula units) = -782

Material: Cs8Au3IBr4
Method: DFT, PBE
State: relaxed

```
Cs8Au3IBr4
1.0
5.266 3.041 8.653
-5.266 3.041 8.653
0.000 -6.081 8.653
Cs Au I Br
8 3 1 4
Cartesian
0.000 0.000 6.462
-2.586 -1.493 15.078
0.000 -2.986 10.880
-2.586 1.493 10.880
2.586 -1.493 15.078
0.000 2.986 15.078
2.586 1.493 10.880
0.000 0.000 19.496
-2.633 -1.520 8.653
-2.633 1.520 17.305
0.000 3.041 8.653
0.000 0.000 0.000
-5.266 0.000 12.979
-2.633 1.520 4.326
2.633 1.520 4.326
0.000 0.000 12.979
```

## Properties
- total magnetization (Bohr magnetons per cell) = 0.000
- E (eV for the cell shown) = -44.17
- calculated density (g cm⁻³) = 4.20
- D(E_F) (states/eV/f.u.) = 0.0
- ΔE_f (raw) (kJ/mol of formula units) = -1859

Material: ThGaSi2Tc2
Method: DFT, PBE
State: relaxed

```
ThGaSi2Tc2
1.0
4.544 0.000 0.000
0.000 4.544 0.000
0.000 0.000 5.499
Th Ga Si Tc
1 1 2 2
Cartesian
0.000 0.000 0.000
0.000 0.000 2.750
2.272 2.272 1.348
2.272 2.272 4.151
0.000 2.272 2.750
2.272 0.000 2.750
```

## Properties
- total magnetization (Bohr magnetons per cell) = 0.000
- E (eV for the cell shown) = -42.30
- calculated density (g cm⁻³) = 8.10
- D(E_F) (states/eV/f.u.) = 3.1
- ΔE_f (raw) (kJ/mol of formula units) = -27

Material: LiEuTmLu
Method: DFT, PBE
State: relaxed

```
LiEuTmLu
1.0
7.834 0.000 0.000
0.000 7.834 0.000
0.000 0.000 7.834
Li Eu Tm Lu
4 4 4 4
Cartesian
0.000 0.000 0.000
0.000 3.917 3.917
3.917 0.000 3.917
3.917 3.917 0.000
1.959 1.959 5.876
1.959 5.876 1.959
5.876 1.959 1.959
5.876 5.876 5.876
1.959 1.959 1.959
1.959 5.876 5.876
5.876 1.959 5.876
5.876 5.876 1.959
0.000 0.000 3.917
0.000 3.917 0.000
3.917 0.000 0.000
3.917 3.917 3.917
```

## Properties
- total magnetization (Bohr magnetons per cell) = 28.662
- E (eV for the cell shown) = -81.40
- formation energy (eV per formula unit) = 0.831
- calculated density (g cm⁻³) = 6.95
- D(E_F) (states/eV/f.u.) = 4.0

Material: TiSbH
Method: DFT, PBE
State: relaxed

```
TiSbH
1.0
3.566 0.000 0.000
-1.783 3.088 0.000
0.000 0.000 3.846
Ti Sb H
1 1 1
Cartesian
0.000 0.000 0.000
1.783 1.029 1.923
0.000 2.059 0.000
```

## Properties
- total magnetization (Bohr magnetons per cell) = 0.000
- offset from the most stable computed form (eV per formula unit) = 0.00
- E (eV for the cell shown) = -16.57
- calculated density (g cm⁻³) = 6.69
- D(E_F) (states/eV/f.u.) = 0.5

Material: Ca3HfNp3N8
Method: DFT, PBE
State: relaxed

```
Ca3HfNp3N8
1.0
3.406 1.967 5.690
-3.406 1.967 5.690
0.000 -3.933 5.690
Ca Hf Np N
3 1 3 8
Cartesian
-1.703 -0.983 5.690
-1.703 0.983 11.381
0.000 1.967 5.690
0.000 0.000 8.536
-3.406 0.000 8.536
-1.703 0.983 2.845
1.703 0.983 2.845
-1.658 -0.957 9.643
0.000 0.000 4.116
0.000 -1.915 7.429
-1.658 0.957 7.429
1.658 -0.957 9.643
0.000 1.915 9.643
0.000 0.000 12.956
1.658 0.957 7.429
```

## Properties
- total magnetization (Bohr magnetons per cell) = 7.001
- E (eV for the cell shown) = -139.14
- calculated density (g cm⁻³) = 8.14
- D(E_F) (states/eV/f.u.) = 15.7
- ΔE_f (raw) (kJ/mol of formula units) = -1713

Material: Ag2TeRu
Method: DFT, PBE
State: relaxed

```
Ag2TeRu
1.0
3.202 0.000 0.000
0.000 5.258 0.000
-0.026 0.000 4.532
Ag Te Ru
2 1 1
Cartesian
0.783 0.000 1.105
2.392 0.000 3.427
-0.013 2.629 2.266
1.601 2.629 0.000
```

## Properties
- total magnetization (Bohr magnetons per cell) = 0.648
- E (eV for the cell shown) = -16.38
- calculated density (g cm⁻³) = 9.67
- D(E_F) (states/eV/f.u.) = 4.1
- ΔE_f (raw) (kJ/mol of formula units) = 167